No. 1
# Rb8H3Br4F | Alexandria via LeMat-Bulk | PBE-GGA | optimized geometry
# Uncorrected energy in eV per atom: -2.887
data_Rb8H3Br4F
_cell_length_a 15.891
_cell_length_b 9.164
_cell_length_c 9.276
_cell_angle_alpha 90.00
_cell_angle_beta 124.80
_cell_angle_gamma 90.00
_symmetry_space_group_name_H-M 'C 1 2/m 1'
_symmetry_Int_Tables_number 12
loop_
_symmetry_equiv_pos_as_xyz
'x,y,z'
'-x,-y,-z'
'-x,y,-z'
'x,-y,z'
'x+1/2,y+1/2,z'
'-x+1/2,-y+1/2,-z'
'-x+1/2,y+1/2,-z'
'x+1/2,-y+1/2,z'
loop_
_atom_site_label
_atom_site_type_symbol
_atom_site_fract_x
_atom_site_fract_y
_atom_site_fract_z
Rb1 Rb 0.010 0.245 0.286
Rb2 Rb 0.235 0.000 0.714
Rb3 Rb 0.239 0.500 0.717
H1 H 0.000 0.500 0.500
H2 H 0.250 0.250 0.500
Br1 Br 0.000 0.000 0.000
Br2 Br 0.000 0.500 0.000
Br3 Br 0.250 0.250 0.000
F1 F 0.000 0.000 0.500

=====

No. 2
# CaTiAs2O8 | Alexandria via LeMat-Bulk | PBE-GGA | optimized geometry
# Uncorrected formation energy in eV per atom: -1.90
data_CaTiAs2O8
_cell_length_a 6.934
_cell_length_b 6.934
_cell_length_c 6.103
_cell_angle_alpha 90.00
_cell_angle_beta 90.00
_cell_angle_gamma 90.00
_symmetry_space_group_name_H-M 'I -4 m 2'
_symmetry_Int_Tables_number 119
_symmetry_space_group_name_Hall 'I -4 -2'
loop_
_atom_site_label
_atom_site_type_symbol
_atom_site_fract_x
_atom_site_fract_y
_atom_site_fract_z
Ca1 Ca 0.000 0.000 0.000
Ti1 Ti 0.000 0.500 0.250
As1 As 0.000 0.000 0.500
As2 As 0.000 0.500 0.750
O1 O 0.000 0.196 0.326
O2 O 0.000 0.326 0.950

=====

No. 3
# Dy2Tm8Zr | Alexandria via LeMat-Bulk | PBE-GGA | optimized geometry
# Formation energy in eV per atom: 0.208
# Offset from the most stable computed form in meV/atom: 168
data_Dy2Tm8Zr
_cell_length_a 16.458
_cell_length_b 6.390
_cell_length_c 6.500
_cell_angle_alpha 90.00
_cell_angle_beta 102.47
_cell_angle_gamma 90.00
_symmetry_space_group_name_H-M 'C 1 2/m 1'
_symmetry_Int_Tables_number 12
loop_
_symmetry_equiv_pos_as_xyz
'x,y,z'
'-x,-y,-z'
'-x,y,-z'
'x,-y,z'
'x+1/2,y+1/2,z'
'-x+1/2,-y+1/2,-z'
'-x+1/2,y+1/2,-z'
'x+1/2,-y+1/2,z'
loop_
_atom_site_label
_atom_site_type_symbol
_atom_site_fract_x
_atom_site_fract_y
_atom_site_fract_z
Dy1 Dy 0.186 0.000 0.324
Tm1 Tm 0.080 0.256 0.891
Tm2 Tm 0.092 0.500 0.414
Tm3 Tm 0.245 0.000 0.838
Zr1 Zr 0.000 0.000 0.500

=====

No. 4
# Cs2ZnBBr6 | Alexandria via LeMat-Bulk | PBE-GGA | optimized geometry
# Uncorrected formation energy in eV per atom: -0.73
data_Cs2ZnBBr6
_cell_length_a 7.468
_cell_length_b 7.468
_cell_length_c 11.363
_cell_angle_alpha 90.00
_cell_angle_beta 90.00
_cell_angle_gamma 90.00
_symmetry_space_group_name_H-M 'I 4/m m m'
_symmetry_Int_Tables_number 139
_symmetry_space_group_name_Hall '-I 4 2'
loop_
_atom_site_label
_atom_site_type_symbol
_atom_site_fract_x
_atom_site_fract_y
_atom_site_fract_z
Cs1 Cs 0.000 0.500 0.250
Zn1 Zn 0.000 0.000 0.000
B1 B 0.000 0.000 0.500
Br1 Br 0.000 0.000 0.214
Br2 Br 0.219 0.219 0.500

=====

no.,N(E_F) (states/eV per cell)
1,0.0
2,0.0
3,36.5
4,6.7